[1]
Below is a relaxed La5Sm6Mg2 crystal, with properties calculated at the PBE level.

Summary:
DOS at the Fermi energy (states/eV/atom): 1.63
E (eV/atom): -4.20

Cell: 10.803 23.003 3.594 Å, 90.00 90.00 90.00°
Element x y z (fractional)
La  0.000  0.000  0.000
La  0.083  0.252  0.000
La  0.171  0.504  0.000
La  0.329  0.004  0.000
La  0.417  0.752  0.000
La  0.500  0.500  0.000
La  0.583  0.248  0.000
La  0.671  0.996  0.000
La  0.829  0.496  0.000
La  0.917  0.748  0.000
Sm  0.017  0.387  0.500
Sm  0.146  0.117  0.500
Sm  0.169  0.864  0.000
Sm  0.331  0.364  0.000
Sm  0.354  0.617  0.500
Sm  0.483  0.887  0.500
Sm  0.517  0.113  0.500
Sm  0.646  0.383  0.500
Sm  0.669  0.636  0.000
Sm  0.831  0.136  0.000
Sm  0.854  0.883  0.500
Sm  0.983  0.613  0.500
Mg  0.166  0.737  0.500
Mg  0.334  0.237  0.500
Mg  0.666  0.763  0.500
Mg  0.834  0.263  0.500

=====

[2]
Below is a relaxed La2Sm7Mg2 crystal, with properties calculated at the PBE level.

Summary:
DOS at the Fermi energy (states/eV/atom): 1.49
E (eV/atom): -4.12

Cell: 6.637 6.637 8.749 Å, 102.41 102.41 96.47°
Element x y z (fractional)
La  0.180  0.820  0.000
La  0.820  0.180  0.000
Sm  0.030  0.385  0.675
Sm  0.360  0.360  0.087
Sm  0.385  0.030  0.675
Sm  0.500  0.500  0.500
Sm  0.615  0.970  0.325
Sm  0.640  0.640  0.913
Sm  0.970  0.615  0.325
Mg  0.116  0.116  0.337
Mg  0.884  0.884  0.663

=====

[3]
Below is a relaxed La5SmMg6 crystal, with properties calculated at the PBE level.

Summary:
DOS at the Fermi energy (states/eV/atom): 1.16
E (eV/atom): -3.36

Cell: 8.813 8.813 7.906 Å, 90.00 90.00 143.13°
Element x y z (fractional)
La  0.000  0.000  0.000
La  0.331  0.669  0.000
La  0.334  0.666  0.500
La  0.666  0.334  0.500
La  0.669  0.331  0.000
Sm  0.000  0.000  0.500
Mg  0.165  0.835  0.254
Mg  0.165  0.835  0.746
Mg  0.500  0.500  0.254
Mg  0.500  0.500  0.746
Mg  0.835  0.165  0.254
Mg  0.835  0.165  0.746

=====

[4]
Below is a relaxed La3Sm4Mg crystal, with properties calculated at the PBE level.

Summary:
DOS at the Fermi energy (states/eV/atom): 1.43
E (eV/atom): -4.33

Cell: 9.001 9.001 9.001 Å, 157.08 97.14 87.40°
Element x y z (fractional)
La  0.000  0.000  0.000
La  0.265  0.765  0.500
La  0.735  0.235  0.500
Sm  0.120  0.367  0.753
Sm  0.386  0.633  0.753
Sm  0.614  0.367  0.247
Sm  0.880  0.633  0.247
Mg  0.500  0.500  0.000

=====

[5]
Below is a relaxed La6Sm2Mg crystal, with properties calculated at the PBE level.

Summary:
DOS at the Fermi energy (states/eV/atom): 1.43
E (eV/atom): -4.51

Cell: 10.013 10.013 3.652 Å, 90.00 90.00 120.00°
Element x y z (fractional)
La  0.000  0.297  0.000
La  0.000  0.639  0.500
La  0.297  0.000  0.000
La  0.361  0.361  0.500
La  0.639  0.000  0.500
La  0.703  0.703  0.000
Sm  0.333  0.667  0.000
Sm  0.667  0.333  0.000
Mg  0.000  0.000  0.500

=====

[6]
Below is a relaxed La2Sm3Mg crystal, with properties calculated at the PBE level.

Summary:
DOS at the Fermi energy (states/eV/atom): 1.41
E (eV/atom): -4.22

Cell: 8.542 8.542 5.600 Å, 90.00 90.00 103.29°
Element x y z (fractional)
La  0.022  0.658  0.750
La  0.342  0.978  0.750
La  0.658  0.022  0.250
La  0.978  0.342  0.250
Sm  0.065  0.935  0.250
Sm  0.279  0.403  0.750
Sm  0.403  0.279  0.250
Sm  0.597  0.721  0.750
Sm  0.721  0.597  0.250
Sm  0.935  0.065  0.750
Mg  0.331  0.669  0.250
Mg  0.669  0.331  0.750

=====

[7]
Below is a relaxed La5Sm6Mg crystal, with properties calculated at the PBE level.

Summary:
DOS at the Fermi energy (states/eV/atom): 1.54
E (eV/atom): -4.53

Cell: 6.306 6.306 12.095 Å, 95.04 95.04 120.03°
Element x y z (fractional)
La  0.000  0.000  0.000
La  0.167  0.833  0.500
La  0.332  0.668  0.000
La  0.668  0.332  0.000
La  0.833  0.167  0.500
Sm  0.088  0.418  0.252
Sm  0.252  0.252  0.749
Sm  0.418  0.088  0.252
Sm  0.582  0.912  0.748
Sm  0.748  0.748  0.251
Sm  0.912  0.582  0.748
Mg  0.500  0.500  0.500

=====

[8]
Below is a relaxed La8Sm5Mg crystal, with properties calculated at the PBE level.

Summary:
DOS at the Fermi energy (states/eV/atom): 1.57
E (eV/atom): -4.40

Cell: 8.696 8.696 9.968 Å, 124.80 124.80 71.89°
Element x y z (fractional)
La  0.025  0.351  0.771
La  0.066  0.066  0.231
La  0.242  0.588  0.603
La  0.412  0.758  0.397
La  0.499  0.171  0.902
La  0.649  0.975  0.229
La  0.829  0.501  0.098
La  0.934  0.934  0.769
Sm  0.082  0.918  0.500
Sm  0.300  0.292  0.198
Sm  0.562  0.243  0.607
Sm  0.708  0.700  0.802
Sm  0.757  0.438  0.393
Mg  0.332  0.668  0.000

=====

[9]
Below is a relaxed La15Sm2Mg2 crystal, with properties calculated at the PBE level.

Summary:
DOS at the Fermi energy (states/eV/atom): 1.38
E (eV/atom): -4.39

Cell: 8.936 8.936 8.936 Å, 77.96 77.96 77.96°
Element x y z (fractional)
La  0.000  0.000  0.500
La  0.000  0.293  0.707
La  0.000  0.500  0.000
La  0.000  0.707  0.293
La  0.173  0.607  0.607
La  0.293  0.000  0.707
La  0.293  0.707  0.000
La  0.393  0.393  0.827
La  0.393  0.827  0.393
La  0.500  0.000  0.000
La  0.607  0.173  0.607
La  0.607  0.607  0.173
La  0.707  0.000  0.293
La  0.707  0.293  0.000
La  0.827  0.393  0.393
Sm  0.298  0.298  0.298
Sm  0.702  0.702  0.702
Mg  0.091  0.091  0.091
Mg  0.909  0.909  0.909

=====

[10]
Below is a relaxed La6Sm5Mg2 crystal, with properties calculated at the PBE level.

Summary:
DOS at the Fermi energy (states/eV/atom): 1.57
E (eV/atom): -4.22

Cell: 10.754 23.372 3.595 Å, 90.00 90.00 90.00°
Element x y z (fractional)
La  0.018  0.113  0.000
La  0.150  0.383  0.000
La  0.166  0.633  0.500
La  0.334  0.133  0.500
La  0.350  0.883  0.000
La  0.482  0.613  0.000
La  0.518  0.387  0.000
La  0.650  0.117  0.000
La  0.666  0.867  0.500
La  0.834  0.367  0.500
La  0.850  0.617  0.000
La  0.982  0.887  0.000
Sm  0.000  0.500  0.500
Sm  0.085  0.249  0.500
Sm  0.166  0.994  0.500
Sm  0.334  0.494  0.500
Sm  0.415  0.749  0.500
Sm  0.500  0.000  0.500
Sm  0.585  0.251  0.500
Sm  0.666  0.506  0.500
Sm  0.834  0.006  0.500
Sm  0.915  0.751  0.500
Mg  0.165  0.760  0.000
Mg  0.335  0.260  0.000
Mg  0.665  0.740  0.000
Mg  0.835  0.240  0.000

=====

[11]
Below is a relaxed LaSm2Mg crystal, with properties calculated at the PBE level.

Summary:
DOS at the Fermi energy (states/eV/atom): 1.23
E (eV/atom): -4.03

Cell: 3.765 3.765 9.040 Å, 90.00 90.00 90.00°
Element x y z (fractional)
La  0.000  0.000  0.000
Sm  0.500  0.500  0.279
Sm  0.500  0.500  0.721
Mg  0.000  0.000  0.500

=====

[12]
Below is a relaxed La5Sm8Mg crystal, with properties calculated at the PBE level.

Summary:
DOS at the Fermi energy (states/eV/atom): 1.36
E (eV/atom): -4.47

Cell: 8.579 8.604 8.920 Å, 118.21 116.89 91.18°
Element x y z (fractional)
La  0.000  0.000  0.000
La  0.075  0.810  0.596
La  0.273  0.579  0.844
La  0.569  0.858  0.838
La  0.735  0.495  0.606
Sm  0.042  0.663  0.128
Sm  0.247  0.452  0.389
Sm  0.249  0.283  0.957
Sm  0.370  0.128  0.578
Sm  0.457  0.074  0.200
Sm  0.559  0.753  0.380
Sm  0.742  0.361  0.144
Sm  0.918  0.116  0.415
Mg  0.806  0.191  0.750